# 1
A relaxed structure of BaCu4P2. Source: the Open Quantum Materials Database, functional PBE.

abc: 7.664 7.664 4.061
angles: 90.00 90.00 149.56
Fractional positions:
Cu 0.198 0.802 0.500
Cu 0.692 0.308 0.000
Ba 0.000 0.000 0.000
Cu 0.308 0.692 0.000
Cu 0.802 0.198 0.500
P 0.379 0.621 0.500
P 0.621 0.379 0.500

Values from the calculation:
- space group = Cmmm (65)

=====

# 2
A relaxed structure of RbLuCu. Source: the Open Quantum Materials Database, functional PBE.

abc: 5.307 5.307 5.307
angles: 60.00 60.00 60.00
Fractional positions:
Rb 0.000 0.000 0.000
Lu 0.750 0.750 0.750
Cu 0.250 0.250 0.250

Values from the calculation:
- space group = F-43m (216)
- total moment (μB per cell) = 0.01

=====

# 3
A relaxed structure of PmTc3O. Source: the Open Quantum Materials Database, functional PBE.

abc: 4.254 4.254 4.254
angles: 90.00 90.00 90.00
Each line ends with the local moment (μB).
Fractional positions:
Tc 0.000 0.000 0.500  0.23
Tc 0.000 0.500 0.000  0.30
O 0.000 0.000 0.000  0.00
Tc 0.500 0.000 0.000  0.18
Pm 0.500 0.500 0.500  0.00

Values from the calculation:
- space group = Pm-3m (221)
- total moment (μB per cell) = 0.76

=====

# 4
A relaxed structure of Li4ZnGa3. Source: the Open Quantum Materials Database, functional PBE.

abc: 4.339 4.339 6.147
angles: 90.00 90.00 90.00
Fractional positions:
Ga 0.500 0.000 0.244
Ga 0.000 0.500 0.756
Li 0.500 0.000 0.752
Li 0.000 0.000 0.500
Ga 0.500 0.500 0.500
Li 0.500 0.500 0.000
Zn 0.000 0.000 0.000
Li 0.000 0.500 0.248

Values from the calculation:
- space group = P-4m2 (115)

=====

# 5
A relaxed structure of Zn2Os. Source: the Open Quantum Materials Database, functional PBE.

abc: 13.881 2.788 4.407
angles: 90.00 90.00 90.00
Fractional positions:
Os 0.172 0.500 0.000
Zn 0.109 0.000 0.500
Os 0.672 0.000 0.000
Zn 0.835 0.500 0.000
Zn 0.940 0.500 0.500
Zn 0.440 0.000 0.500
Zn 0.505 0.500 0.000
Zn 0.335 0.000 0.000
Zn 0.005 0.000 0.000
Os 0.772 0.000 0.500
Zn 0.609 0.500 0.500
Os 0.272 0.500 0.500

Values from the calculation:
- space group = Cmcm (63)
- total moment (μB per cell) = 0.00
- energy of formation from the pure elements (meV per atom) = 216

=====

# 6
A relaxed structure of Nd2DyAl3Cu3. Source: the Open Quantum Materials Database, functional PBE.

abc: 4.070 7.159 7.159
angles: 120.74 90.00 90.00
Fractional positions:
Nd 0.000 0.417 0.001
Al 0.500 0.995 0.767
Cu 0.500 0.664 0.343
Nd 0.000 0.001 0.417
Cu 0.500 0.343 0.664
Cu 0.000 0.995 0.995
Al 0.500 0.767 0.995
Dy 0.000 0.585 0.585
Al 0.500 0.233 0.233

Values from the calculation:
- space group = Amm2 (38)
- total moment (μB per cell) = 0.04

=====

# 7
A relaxed structure of Sc4CdC2S. Source: the Open Quantum Materials Database, functional PBE.

abc: 3.397 3.397 13.704
angles: 90.00 90.00 120.00
Each line ends with the local moment (μB).
Fractional positions:
Sc 0.667 0.333 0.694  0.13
C 0.000 0.000 0.779  0.00
Sc 0.667 0.333 0.306  0.13
Sc 0.333 0.667 0.128  0.02
S 0.667 0.333 0.000  0.00
Sc 0.333 0.667 0.872  0.02
C 0.000 0.000 0.221  0.00
Cd 0.333 0.667 0.500  0.05

Values from the calculation:
- space group = P-6m2 (187)
- total moment (μB per cell) = 0.79

=====

# 8
A relaxed structure of HfP2. Source: the Open Quantum Materials Database, functional PBE.

abc: 5.117 5.117 5.117
angles: 60.00 60.00 60.00
Fractional positions:
P 0.625 0.625 0.125
Hf 0.000 0.000 0.000
Hf 0.250 0.250 0.250
P 0.625 0.625 0.625
P 0.625 0.125 0.625
P 0.125 0.625 0.625

Values from the calculation:
- space group = Fd-3m (227)
- total moment (μB per cell) = 0.02

=====

# 9
A relaxed structure of Cs3Ag2Br6. Source: the Open Quantum Materials Database, functional PBE.

abc: 15.435 15.435 15.435
angles: 160.09 160.09 28.30
Fractional positions:
Br 0.696 0.696 0.000
Ag 0.397 0.397 0.000
Br 0.085 0.585 0.500
Cs 0.182 0.182 0.000
Br 0.915 0.415 0.500
Br 0.304 0.304 0.000
Ag 0.603 0.603 0.000
Cs 0.000 0.000 0.000
Cs 0.818 0.818 0.000
Br 0.585 0.085 0.500
Br 0.415 0.915 0.500

Values from the calculation:
- space group = I4/mmm (139)

=====

# 10
A relaxed structure of Cs2NaHgH6. Source: the Open Quantum Materials Database, functional PBE.

abc: 6.320 6.320 6.320
angles: 122.06 122.06 86.47
Fractional positions:
H 0.211 0.210 0.421
H 0.789 0.790 0.579
H 0.256 0.256 0.000
H 0.790 0.211 0.001
H 0.744 0.744 0.000
H 0.210 0.789 0.999
Hg 0.000 0.000 0.000
Cs 0.250 0.750 0.500
Cs 0.750 0.250 0.500
Na 0.500 0.500 0.000

Values from the calculation:
- space group = I4/mmm (139)

=====

# 11
A relaxed structure of HoUTe. Source: the Open Quantum Materials Database, functional PBE.

abc: 5.075 5.075 5.075
angles: 60.00 60.00 60.00
Fractional positions:
Ho 0.250 0.250 0.250
U 0.750 0.750 0.750
Te 0.000 0.000 0.000

Values from the calculation:
- space group = F-43m (216)
- total moment (μB per cell) = 4.60
- energy above the most stable polymorph in this dataset (meV/atom) = 0

=====

# 12
A relaxed structure of Nd2SnTeO6. Source: the Open Quantum Materials Database, functional PBE.

abc: 6.341 5.573 10.033
angles: 90.00 125.43 90.00
Fractional positions:
Nd 0.243 0.479 0.738
Sn 0.000 0.500 0.000
O 0.348 0.607 0.225
O 0.840 0.830 0.015
O 0.840 0.670 0.515
O 0.084 0.686 0.865
Te 0.500 0.000 0.000
O 0.652 0.107 0.275
O 0.652 0.393 0.775
Nd 0.243 0.021 0.238
O 0.916 0.314 0.135
O 0.160 0.330 0.485
Sn 0.000 0.000 0.500
Te 0.500 0.500 0.500
O 0.160 0.170 0.985
Nd 0.757 0.979 0.762
O 0.348 0.893 0.725
O 0.916 0.186 0.635
O 0.084 0.814 0.365
Nd 0.757 0.521 0.262

Values from the calculation:
- space group = P2_1/c (14)
- total moment (μB per cell) = 0.01

=====

# 13
A relaxed structure of CsHfAsO. Source: the Open Quantum Materials Database, functional PBE.

abc: 4.514 4.514 10.192
angles: 90.00 90.00 90.00
Fractional positions:
Hf 0.250 0.250 0.990
O 0.250 0.750 0.000
O 0.750 0.250 0.000
As 0.250 0.250 0.748
As 0.750 0.750 0.252
Cs 0.750 0.250 0.500
Hf 0.750 0.750 0.010
Cs 0.250 0.750 0.500

Values from the calculation:
- space group = P4/nmm (129)
- total moment (μB per cell) = 0.06
- energy above the most stable polymorph in this dataset (meV/atom) = 652

=====

# 14
A relaxed structure of TmMgGe. Source: the Open Quantum Materials Database, functional PBE.

abc: 4.803 4.803 4.803
angles: 60.00 60.00 60.00
Fractional positions:
Mg 0.750 0.750 0.750
Ge 0.250 0.250 0.250
Tm 0.000 0.000 0.000

Values from the calculation:
- space group = F-43m (216)
- total moment (μB per cell) = 0.00

=====

# 15
A relaxed structure of Na4AlZnAg2. Source: the Open Quantum Materials Database, functional PBE.

abc: 4.926 4.926 6.898
angles: 90.00 90.00 90.00
Fractional positions:
Ag 0.500 0.000 0.762
Ag 0.000 0.500 0.238
Al 0.000 0.000 0.000
Na 0.500 0.500 0.000
Na 0.000 0.500 0.740
Na 0.500 0.000 0.260
Zn 0.500 0.500 0.500
Na 0.000 0.000 0.500

Values from the calculation:
- space group = P-4m2 (115)

=====

# 16
A relaxed structure of CsCuMoS3. Source: the Open Quantum Materials Database, functional PBE.

abc: 7.943 7.943 9.518
angles: 90.00 90.00 27.27
Each line ends with the local moment (μB).
Fractional positions:
Mo 0.000 0.000 0.000  1.72
S 0.605 0.605 0.954  0.00
S 0.395 0.395 0.454  0.00
S 0.605 0.605 0.546  0.00
Cu 0.469 0.469 0.250  0.02
Cs 0.253 0.253 0.750  0.00
Cs 0.747 0.747 0.250  0.00
S 0.058 0.058 0.250  0.00
S 0.942 0.942 0.750  0.00
Mo 0.000 0.000 0.500  1.72
S 0.395 0.395 0.046  0.00
Cu 0.531 0.531 0.750  0.02

Values from the calculation:
- space group = Cmcm (63)
- total moment (μB per cell) = 4.00

=====

# 17
A relaxed structure of KRb3P2Au2. Source: the Open Quantum Materials Database, functional PBE.

abc: 6.348 6.590 6.370
angles: 90.00 107.67 90.00
Fractional positions:
P 0.264 0.500 0.262
Au 0.500 0.249 0.497
Rb 0.974 0.000 0.319
Rb 0.681 0.500 0.025
K 0.323 0.000 0.976
Rb 0.028 0.500 0.682
Au 0.500 0.751 0.497
P 0.731 0.000 0.741

Values from the calculation:
- space group = Pm (6)

=====

# 18
A relaxed structure of InReAgSe2S. Source: the Open Quantum Materials Database, functional PBE.

abc: 8.801 8.801 9.290
angles: 90.00 90.00 157.97
Fractional positions:
Se 0.892 0.108 0.963
Ag 0.208 0.792 0.250
In 0.160 0.840 0.750
Re 0.500 0.500 0.000
Se 0.892 0.108 0.537
Se 0.108 0.892 0.037
Re 0.500 0.500 0.500
Ag 0.792 0.208 0.750
Se 0.108 0.892 0.463
S 0.536 0.464 0.750
In 0.840 0.160 0.250
S 0.464 0.536 0.250

Values from the calculation:
- space group = Cmcm (63)
- total moment (μB per cell) = 0.08

=====

# 19
A relaxed structure of Zn3Fe. Source: the Open Quantum Materials Database, functional PBE.

abc: 5.273 5.369 4.275
angles: 90.00 90.00 119.41
Each line ends with the local moment (μB).
Fractional positions:
Zn 0.993 0.995 0.000  -0.04
Zn 0.499 0.498 0.000  -0.01
Zn 0.334 0.169 0.500  -0.01
Fe 0.846 0.192 0.500  2.14
Zn 0.331 0.672 0.500  -0.04
Zn 0.502 0.995 0.000  -0.04
Fe 0.987 0.475 0.000  2.14
Zn 0.841 0.672 0.500  -0.04

Values from the calculation:
- space group = Cmcm (63)
- total moment (μB per cell) = 4.05
- energy of formation from the pure elements (meV per atom) = 14

=====

# 20
A relaxed structure of TaH4. Source: the Open Quantum Materials Database, functional PBE.

abc: 3.188 5.513 5.513
angles: 106.60 90.00 90.00
Fractional positions:
H 0.500 0.952 0.607
H 0.500 0.607 0.952
H 0.500 0.287 0.926
H 0.500 0.601 0.367
H 0.000 0.463 0.463
H 0.000 0.157 0.500
Ta 0.000 0.794 0.424
H 0.500 0.926 0.287
H 0.000 0.108 0.108
H 0.500 0.217 0.217
H 0.500 0.367 0.601
Ta 0.000 0.424 0.794
H 0.000 0.500 0.157
Ta 0.500 0.953 0.953
H 0.000 0.775 0.775

Values from the calculation:
- space group = Amm2 (38)
- total moment (μB per cell) = 0.00
- energy above the most stable polymorph in this dataset (meV/atom) = 0

=====

# 21
A relaxed structure of NaZrTaOs. Source: the Open Quantum Materials Database, functional PBE.

abc: 4.667 4.667 4.667
angles: 60.00 60.00 60.00
Fractional positions:
Zr 0.000 0.000 0.000
Ta 0.250 0.250 0.250
Na 0.750 0.750 0.750
Os 0.500 0.500 0.500

Values from the calculation:
- space group = F-43m (216)
- total moment (μB per cell) = 0.38
- energy above the most stable polymorph in this dataset (meV/atom) = 0

=====

# 22
A relaxed structure of SrDyTe3Au. Source: the Open Quantum Materials Database, functional PBE.

abc: 8.476 4.332 10.560
angles: 90.00 106.00 90.00
Fractional positions:
Te 0.419 0.750 0.638
Dy 0.314 0.750 0.330
Te 0.934 0.750 0.647
Te 0.066 0.250 0.353
Dy 0.686 0.250 0.670
Sr 0.230 0.250 0.787
Te 0.285 0.750 0.036
Te 0.581 0.250 0.362
Au 0.094 0.250 0.097
Au 0.906 0.750 0.903
Te 0.715 0.250 0.964
Sr 0.770 0.750 0.213

Values from the calculation:
- space group = P2_1/m (11)
- total moment (μB per cell) = 0.00

=====

# 23
A relaxed structure of Lu2GaCoI2. Source: the Open Quantum Materials Database, functional PBE.

abc: 4.104 4.104 12.029
angles: 90.00 90.00 120.00
Each line ends with the local moment (μB).
Fractional positions:
I 0.333 0.667 0.682  0.00
Lu 0.667 0.333 0.146  0.01
Ga 0.000 0.000 0.999  0.01
Lu 0.667 0.333 0.855  0.01
Co 0.333 0.667 0.000  0.05
I 0.000 0.000 0.318  0.00

Values from the calculation:
- space group = P3m1 (156)
- total moment (μB per cell) = 0.10

=====

# 24
A relaxed structure of BaNaAsPt. Source: the Open Quantum Materials Database, functional PBE.

abc: 5.091 5.091 5.091
angles: 60.00 60.00 60.00
Fractional positions:
As 0.250 0.250 0.250
Ba 0.000 0.000 0.000
Pt 0.500 0.500 0.500
Na 0.750 0.750 0.750

Values from the calculation:
- space group = F-43m (216)
- total moment (μB per cell) = 0.00
- energy above the most stable polymorph in this dataset (meV/atom) = 28

=====

no.,electronic total energy (eV per atom)
1,-4.346
2,-1.712
3,-8.084
4,-2.582
5,-4.369
6,-4.459
7,-6.971
8,-6.815
9,-2.801
10,-2.277
11,-6.215
12,-6.765
13,-6.049
14,-3.513
15,-1.943
16,-5.248
17,-3.127
18,-4.949
19,-3.011
20,-5.057
21,-7.694
22,-4.352
23,-4.582
24,-3.825